[1]
# Ba2AgBr

A geometry-optimized Ba2AgBr structure (PBE-GGA, the Alexandria database).

Results
Magnetic moment in μB per cell: 0.15
E_form (uncorrected) in kJ/mol of formula units: -303.4
E in eV per cell: -23.03
E above lowest polymorph in eV/atom: 0.128

Cell: 8.4472 8.4663 3.9811 Å, 90.00 90.00 90.00°
Closest atoms and distances in Å follow each position.
Space group Cmmm (No. 65)
Asymmetric unit:
Ba  0.2500  0.2500  0.0000 [4 per cell]  4 Ag 3.59, 4 Br 3.59, 2 Ba 3.98
Ag  0.0000  0.0000  0.5000 [2 per cell]  8 Ba 3.59, 2 Ag 3.98
Br  0.0000  0.5000  0.5000 [2 per cell]  8 Ba 3.59, 2 Br 3.98

=====

[2]
# BaAgBr2

A geometry-optimized BaAgBr2 structure (PBE-GGA, the Alexandria database).

Results
Magnetic moment in μB per cell: 0.00
E_form (uncorrected) in kJ/mol of formula units: -409.6
E in eV per cell: -24.73
E above lowest polymorph in eV/atom: 0.074

Cell: 4.6331 4.6331 11.4618 Å, 90.00 90.00 90.00°
Closest atoms and distances in Å follow each position.
Space group I-4m2 (No. 119)
Asymmetric unit:
Ba  0.0000  0.0000  0.0000 [2 per cell]  4 Br 3.28
Ag  0.0000  0.5000  0.2500 [2 per cell]  4 Br 3.28
Br  0.0000  0.0000  0.5000 [2 per cell]  4 Ba 3.28
Br  0.0000  0.5000  0.7500 [2 per cell]  4 Ag 3.28